A relaxed Mg2TeOs crystal, computed with GGA-PBE.

Cell and atoms, written as POSCAR:
```
Mg2TeOs
1.0
5.259 -0.040 -0.030
3.714 3.724 -0.030
1.601 0.657 3.681
Te Mg Os
1 2 1
direct
0.250 0.250 0.250
0.500 0.500 0.500
0.000 0.000 0.000
0.750 0.750 0.750
```

Output
As for the calculated density: 8354 kg/m³. For the formation energy from raw total energies, the calculation gives 0.22 eV/atom. As for the space-group type: No. 139. As for the total energy: -4.17 eV per atom.